[1]
# NdVGa | Alexandria | GGA-PBE | optimized geometry
# spin magnetization	0.000	μB/atom
# DOS at the Fermi energy	2.93	states/eV/f.u.
# energy	-0.212	Ha/atom
# calculated formation energy	-0.1262	eV/atom
data_NdVGa
_chemical_formula_sum 'Nd3 V3 Ga3'
_symmetry_space_group_name_H-M 'P 1'
_symmetry_Int_Tables_number 1
_cell_length_a 7.031
_cell_length_b 7.031
_cell_length_c 4.539
_cell_angle_alpha 90.00
_cell_angle_beta 90.00
_cell_angle_gamma 120.00
loop_
_symmetry_equiv_pos_as_xyz
'x,y,z'
loop_
_atom_site_label
_atom_site_type_symbol
_atom_site_fract_x
_atom_site_fract_y
_atom_site_fract_z
Nd1 Nd 0.000 0.574 0.000
Nd2 Nd 0.426 0.426 0.000
Nd3 Nd 0.574 0.000 0.000
V1 V 0.000 0.197 0.500
V2 V 0.197 0.000 0.500
V3 V 0.803 0.803 0.500
Ga1 Ga 0.000 0.000 0.000
Ga2 Ga 0.333 0.667 0.500
Ga3 Ga 0.667 0.333 0.500

***

[2]
# Na2BeGe | Alexandria | GGA-PBE | optimized geometry
# spin magnetization	0.000	μB/atom
# DOS at the Fermi energy	2.23	states/eV/f.u.
# energy	-0.081	Ha/atom
# calculated formation energy	0.5335	eV/atom
# offset from the most stable computed form	127	kJ/mol of formula units
data_Na2BeGe
_chemical_formula_sum 'Na8 Be4 Ge4'
_symmetry_space_group_name_H-M 'P 1'
_symmetry_Int_Tables_number 1
_cell_length_a 6.853
_cell_length_b 6.853
_cell_length_c 6.853
_cell_angle_alpha 90.00
_cell_angle_beta 90.00
_cell_angle_gamma 90.00
loop_
_symmetry_equiv_pos_as_xyz
'x,y,z'
loop_
_atom_site_label
_atom_site_type_symbol
_atom_site_fract_x
_atom_site_fract_y
_atom_site_fract_z
Na1 Na 0.250 0.250 0.250
Na2 Na 0.250 0.250 0.750
Na3 Na 0.250 0.750 0.250
Na4 Na 0.250 0.750 0.750
Na5 Na 0.750 0.250 0.250
Na6 Na 0.750 0.250 0.750
Na7 Na 0.750 0.750 0.250
Na8 Na 0.750 0.750 0.750
Be1 Be 0.000 0.000 0.000
Be2 Be 0.000 0.500 0.500
Be3 Be 0.500 0.000 0.500
Be4 Be 0.500 0.500 0.000
Ge1 Ge 0.000 0.000 0.500
Ge2 Ge 0.000 0.500 0.000
Ge3 Ge 0.500 0.000 0.000
Ge4 Ge 0.500 0.500 0.500

***

[3]
# LiNd2SiO | Alexandria | GGA-PBE | optimized geometry
# spin magnetization	0.000	μB/atom
# formation energy without anion corrections	-1.425	eV per atom
# DOS at the Fermi energy	2.03	states/eV/f.u.
# energy	-0.213	Ha/atom
data_LiNd2SiO
_chemical_formula_sum 'Li1 Nd2 Si1 O1'
_symmetry_space_group_name_H-M 'P 1'
_symmetry_Int_Tables_number 1
_cell_length_a 4.903
_cell_length_b 4.903
_cell_length_c 4.084
_cell_angle_alpha 90.00
_cell_angle_beta 90.00
_cell_angle_gamma 90.00
loop_
_symmetry_equiv_pos_as_xyz
'x,y,z'
loop_
_atom_site_label
_atom_site_type_symbol
_atom_site_fract_x
_atom_site_fract_y
_atom_site_fract_z
Li1 Li 0.000 0.000 0.000
Nd1 Nd 0.000 0.500 0.500
Nd2 Nd 0.500 0.000 0.500
Si1 Si 0.500 0.500 0.000
O1 O 0.000 0.000 0.500